The following is a PBE calculation of a relaxed NaDy5Tl6 crystal, from Alexandria.

Unit cell a=8.4884 b=8.4884 c=7.5649 alpha=90.00 beta=90.00 gamma=143.30
Closest atoms and distances in Å follow each position.
Atoms (fractional coordinates):
Na 0.0000 0.0000 0.0000  8 Tl 3.25-3.27
Dy 0.0000 0.0000 0.5000  8 Tl 3.28-3.30
Dy 0.3356 0.6644 0.5000  8 Tl 3.28-3.33
Dy 0.3367 0.6633 0.0000  8 Tl 3.22-3.33
Dy 0.6633 0.3367 0.0000  8 Tl 3.22-3.33
Dy 0.6644 0.3356 0.5000  8 Tl 3.28-3.33
Tl 0.1661 0.8339 0.2484  7 Dy 3.27-3.33, 1 Na 3.27
Tl 0.1661 0.8339 0.7516  7 Dy 3.27-3.33, 1 Na 3.27
Tl 0.5000 0.5000 0.2450  6 Dy 3.22-3.30, 2 Na 3.25
Tl 0.5000 0.5000 0.7550  6 Dy 3.22-3.30, 2 Na 3.25
Tl 0.8339 0.1661 0.2484  7 Dy 3.27-3.33, 1 Na 3.27
Tl 0.8339 0.1661 0.7516  7 Dy 3.27-3.33, 1 Na 3.27

Output
ΔH_f (0 K) ... -0.305 eV per atom
SG ... No. 65
Theoretical density ... 10.51 Mg/m³